# 1
Entry from Alexandria via LeMat-Bulk: a geometry-optimized LaHfOs structure (GGA-PBE).

## Properties
Total energy ... -80.1 eV for the cell shown
V ... 23.19 Å³/atom
Total moment ... 0.0 μB per cell

Geometry as CIF:
```
data_LaHfOs
_space_group_name_H-M_alt 'P 1'
_space_group_IT_number 1
_cell_length_a 7.310
_cell_length_b 7.310
_cell_length_c 4.510
_cell_angle_alpha 90.00
_cell_angle_beta 90.00
_cell_angle_gamma 120.00
loop_
_space_group_symop_operation_xyz
'x,y,z'
loop_
_atom_site_label
_atom_site_fract_x
_atom_site_fract_y
_atom_site_fract_z
_atom_site_occupancy
La1 0.000 0.427 0.000 1
La2 0.427 0.000 0.000 1
La3 0.573 0.573 0.000 1
Hf1 0.000 0.756 0.500 1
Hf2 0.244 0.244 0.500 1
Hf3 0.756 0.000 0.500 1
Os1 0.000 0.000 0.000 1
Os2 0.333 0.667 0.500 1
Os3 0.667 0.333 0.500 1
```

---

# 2
Entry from Alexandria via LeMat-Bulk: a geometry-optimized TaOsAu structure (GGA-PBE).

## Properties
Total energy ... -26.4 eV for the cell shown
V ... 16.90 Å³/atom
Total moment ... 0.0 μB per cell

Geometry as CIF:
```
data_TaOsAu
_space_group_name_H-M_alt 'P 1'
_space_group_IT_number 1
_cell_length_a 5.086
_cell_length_b 5.086
_cell_length_c 5.086
_cell_angle_alpha 142.16
_cell_angle_beta 140.75
_cell_angle_gamma 55.67
loop_
_space_group_symop_operation_xyz
'x,y,z'
loop_
_atom_site_label
_atom_site_fract_x
_atom_site_fract_y
_atom_site_fract_z
_atom_site_occupancy
Ta1 0.000 0.000 0.000 1
Os1 0.363 0.363 0.000 1
Au1 0.678 0.678 0.000 1
```

---

- Look up the V of the first one.
  23.19 Å³/atom